No. 1
Here is a relaxed structure of MgInCl from Alexandria. Energies are from PBE-GGA.

```
6
Lattice="3.691 0.000 0.000 0.000 1.810 10.953 0.000 -1.810 10.953" Properties=species:S:1:pos:R:3 pbc="T T T"
Mg 0.000 0.000 0.000
Mg 0.000 0.000 6.572
In 0.000 0.000 3.676
In 1.846 0.000 12.714
Cl 0.000 0.000 9.121
Cl 1.846 0.000 17.756
```

Properties
Uncorrected energy (eV/f.u.): -8.5
Total magnetic moment (μB per formula unit): 0.00
Raw formation energy (eV per atom): -0.760

***

No. 2
Here is a relaxed structure of MgIn2Cl4 from Alexandria. Energies are from PBE-GGA.

```
7
Lattice="7.751 -1.887 0.000 7.751 1.887 0.000 -2.479 0.000 7.017" Properties=species:S:1:pos:R:3 pbc="T T T"
Mg 0.000 0.000 0.000
In 3.439 0.000 2.042
In 9.584 0.000 4.975
Cl -0.029 0.000 6.256
Cl 4.711 0.000 5.410
Cl 8.311 0.000 1.607
Cl 13.051 0.000 0.761
```

Properties
Uncorrected energy (eV/f.u.): -23.0
Total magnetic moment (μB per formula unit): 0.00
Raw formation energy (eV per atom): -1.227

***

No. 3
Here is a relaxed structure of MgIn3Cl from Alexandria. Energies are from PBE-GGA.

```
5
Lattice="5.550 0.000 0.000 0.000 5.550 0.000 0.000 0.000 5.550" Properties=species:S:1:pos:R:3 pbc="T T T"
Mg 0.000 0.000 0.000
In 0.000 0.000 2.775
In 0.000 2.775 0.000
In 2.775 0.000 0.000
Cl 2.775 2.775 2.775
```

Properties
Uncorrected energy (eV/f.u.): -11.2
Total magnetic moment (μB per formula unit): 0.00
Raw formation energy (eV per atom): 0.088

***

No. 4
Here is a relaxed structure of MgIn4Cl from Alexandria. Energies are from PBE-GGA.

```
6
Lattice="0.000 4.379 4.379 4.379 0.000 4.379 4.379 4.379 0.000" Properties=species:S:1:pos:R:3 pbc="T T T"
Mg 0.000 0.000 0.000
In 3.285 3.285 3.285
In 5.474 5.474 3.285
In 5.474 3.285 5.474
In 3.285 5.474 5.474
Cl 6.569 6.569 6.569
```

Properties
Uncorrected energy (eV/f.u.): -14.6
Total magnetic moment (μB per formula unit): 0.00
Raw formation energy (eV per atom): -0.039

***

No. 5
Here is a relaxed structure of MgInCl from Alexandria. Energies are from PBE-GGA.

```
3
Lattice="0.000 2.793 8.041 1.877 0.000 8.041 1.877 2.793 0.000" Properties=species:S:1:pos:R:3 pbc="T T T"
Mg 0.000 0.000 0.000
In 1.877 2.793 5.433
Cl 1.877 2.793 9.584
```

Properties
Uncorrected energy (eV/f.u.): -8.1
Total magnetic moment (μB per formula unit): 0.00
Raw formation energy (eV per atom): -0.629

***

No. 6
Here is a relaxed structure of MgInCl from Alexandria. Energies are from PBE-GGA.

```
6
Lattice="16.628 0.000 0.000 0.000 1.706 2.954 0.000 -1.706 2.954" Properties=species:S:1:pos:R:3 pbc="T T T"
Mg 0.000 0.000 0.000
Mg 8.314 0.000 1.302
In 5.718 0.000 5.238
In 10.910 0.000 5.238
Cl 1.561 0.000 1.968
Cl 15.066 0.000 1.968
```

Properties
Uncorrected energy (eV/f.u.): -8.4
Total magnetic moment (μB per formula unit): 0.00
Raw formation energy (eV per atom): -0.746

***

No. 7
Here is a relaxed structure of MgInCl4 from Alexandria. Energies are from PBE-GGA.

```
12
Lattice="3.504 -9.063 0.000 3.504 9.063 0.000 -0.604 0.000 6.443" Properties=species:S:1:pos:R:3 pbc="T T T"
Mg 3.051 7.970 4.832
Mg 3.353 -7.970 1.611
In 3.353 1.346 1.611
In 3.051 -1.346 4.832
Cl 1.442 2.734 2.555
Cl 0.806 0.873 6.037
Cl 1.108 -0.873 2.815
Cl 1.140 -2.734 5.776
Cl 5.264 2.734 0.667
Cl 5.295 0.873 3.628
Cl 5.598 -0.873 0.406
Cl 4.962 -2.734 3.888
```

Properties
Uncorrected energy (eV/f.u.): -19.2
Total magnetic moment (μB per formula unit): 0.92
Raw formation energy (eV per atom): -1.240

***

No. 8
Here is a relaxed structure of MgIn2Cl from Alexandria. Energies are from PBE-GGA.

```
4
Lattice="3.796 0.000 0.000 0.000 4.543 0.000 0.000 0.000 6.127" Properties=species:S:1:pos:R:3 pbc="T T T"
Mg 0.000 0.000 0.000
In 0.000 0.000 2.944
In 1.898 2.272 3.541
Cl 1.898 2.272 0.209
```

Properties
Uncorrected energy (eV/f.u.): -10.3
Total magnetic moment (μB per formula unit): 0.00
Raw formation energy (eV per atom): -0.358

***

No. 9
Here is a relaxed structure of MgIn2Cl from Alexandria. Energies are from PBE-GGA.

```
4
Lattice="3.406 0.000 0.000 0.000 5.150 0.000 0.000 0.000 5.837" Properties=species:S:1:pos:R:3 pbc="T T T"
Mg 0.000 0.000 0.000
In 1.703 2.575 1.451
In 1.703 2.575 4.386
Cl 0.000 0.000 2.918
```

Properties
Uncorrected energy (eV/f.u.): -10.1
Total magnetic moment (μB per formula unit): 0.00
Raw formation energy (eV per atom): -0.286

***

No. 10
Here is a relaxed structure of MgInCl from Alexandria. Energies are from PBE-GGA.

```
3
Lattice="4.895 0.000 0.000 -2.448 4.240 0.000 0.000 0.000 3.576" Properties=species:S:1:pos:R:3 pbc="T T T"
Mg 0.000 0.000 0.000
In 2.448 1.413 1.787
Cl 0.000 2.826 3.569
```

Properties
Uncorrected energy (eV/f.u.): -7.5
Total magnetic moment (μB per formula unit): 0.00
Raw formation energy (eV per atom): -0.424

***

No. 11
Here is a relaxed structure of MgIn2Cl from Alexandria. Energies are from PBE-GGA.

```
4
Lattice="-2.216 2.216 5.272 2.216 -2.216 5.272 2.216 2.216 -5.272" Properties=species:S:1:pos:R:3 pbc="T T T"
Mg 0.000 0.000 0.000
In 2.216 0.000 2.636
In 0.000 2.216 2.636
Cl 0.000 0.000 5.272
```

Properties
Uncorrected energy (eV/f.u.): -9.9
Total magnetic moment (μB per formula unit): 0.00
Raw formation energy (eV per atom): -0.252

***

No. 12
Here is a relaxed structure of Mg2In3Cl7 from Alexandria. Energies are from PBE-GGA.

```
12
Lattice="2.519 -12.814 0.000 2.519 12.814 0.000 0.000 0.000 4.951" Properties=species:S:1:pos:R:3 pbc="T T T"
Mg 2.519 10.246 0.000
Mg 2.519 -10.246 0.000
In 2.519 4.741 2.475
In 2.519 0.000 2.475
In 2.519 -4.741 2.475
Cl 0.000 0.000 0.000
Cl 2.519 10.333 2.475
Cl 2.519 7.816 0.000
Cl 2.519 2.484 0.000
Cl 2.519 -2.484 0.000
Cl 2.519 -7.816 0.000
Cl 2.519 -10.333 2.475
```

Properties
Uncorrected energy (eV/f.u.): -39.9
Total magnetic moment (μB per formula unit): 0.00
Raw formation energy (eV per atom): -1.296

***

> What is the formula in the eleventh record?

MgIn2Cl

***

> Which value of raw formation energy does entry 2 give?

-1.227 eV per atom

***

> Among the records above, which one has the highest raw formation energy?

MgIn3Cl

***

What did the fourth record say?
Here is a relaxed structure of MgIn4Cl from Alexandria. Energies are from PBE-GGA.

```
6
Lattice="0.000 4.379 4.379 4.379 0.000 4.379 4.379 4.379 0.000" Properties=species:S:1:pos:R:3 pbc="T T T"
Mg 0.000 0.000 0.000
In 3.285 3.285 3.285
In 5.474 5.474 3.285
In 5.474 3.285 5.474
In 3.285 5.474 5.474
Cl 6.569 6.569 6.569
```

Properties
Uncorrected energy (eV/f.u.): -14.6
Total magnetic moment (μB per formula unit): 0.00
Raw formation energy (eV per atom): -0.039